Entry 1:
A plane-wave DFT calculation with PBE was carried out for EuTiPb3 after structural relaxation.

a b c (Å): 5.430 5.430 5.430
angles (deg): 90.00 90.00 90.00
Element x y z (fractional)
Eu1 0.000 0.000 0.000
Ti1 0.500 0.500 0.500
Pb1 0.000 0.500 0.500
Pb2 0.500 0.000 0.500
Pb3 0.500 0.500 0.000

For the density of states at the Fermi level, the calculation gives 1.76 states/eV per cell. The value obtained for the uncorrected energy is -5.96 eV/atom. The energy of formation from the pure elements comes out at -0.0982 eV/atom. The value obtained for the total moment is 6.9 μB/f.u.



Entry 2:
A plane-wave DFT calculation with PBE was carried out for EuTlPb after structural relaxation.

a b c (Å): 5.312 5.312 3.844
angles (deg): 90.00 90.00 120.00
Element x y z (fractional)
Eu1 0.000 0.000 0.000
Tl1 0.333 0.667 0.346
Pb1 0.667 0.333 0.608

For the density of states at the Fermi level, the calculation gives 9.62 states/eV per cell. The value obtained for the uncorrected energy is -5.80 eV/atom. The energy of formation from the pure elements comes out at -0.3472 eV/atom. The value obtained for the total moment is 7.1 μB/f.u.



Entry 3:
A plane-wave DFT calculation with PBE was carried out for EuTl2Pb after structural relaxation.

a b c (Å): 4.861 4.861 4.991
angles (deg): 90.00 90.00 90.00
Element x y z (fractional)
Eu1 0.000 0.000 0.000
Tl1 0.000 0.500 0.500
Tl2 0.500 0.000 0.500
Pb1 0.500 0.500 0.000

For the density of states at the Fermi level, the calculation gives 7.46 states/eV per cell. The value obtained for the uncorrected energy is -4.99 eV/atom. The energy of formation from the pure elements comes out at -0.3154 eV/atom. The value obtained for the total moment is 7.0 μB/f.u.